Compound: Zr2TaGeBi
Source: the Alexandria database
Functional: PBE-GGA
Structure: optimized geometry

Computed properties:
total magnetic moment: 0.000 μB/f.u.
calculated total energy: -6.550 eV per atom
N(E_F): 2.361 states/eV/f.u.
formation enthalpy at 0 K: 0.940 eV/atom

abc: 4.986 5.318 4.986
angles: 90.00 90.00 90.00
Element x y z (fractional)
Ge1 0.000 0.000 0.000
Bi1 0.000 0.500 0.000
Zr1 0.000 0.000 0.500
Zr2 0.500 0.000 0.000
Ta1 0.500 0.500 0.500